The following is a GGA-PBE calculation of an optimized crystal structure of NaPmB, from OQMD via LeMat-Bulk.

Summary:
Energy above the most stable polymorph in this dataset ... 0 meV per atom
Uncorrected energy ... -0.1388 Ha/atom
Volume ... 21.7 A^3/atom
Crystal system ... cubic

Geometry as CIF:
```
data_NaPmB
_chemical_formula_sum 'Na4 Pm4 B4'
_cell_length_a 6.382
_cell_length_b 6.382
_cell_length_c 6.382
_cell_angle_alpha 90.00
_cell_angle_beta 90.00
_cell_angle_gamma 90.00
_symmetry_space_group_name_H-M 'F -4 3 m'
_symmetry_Int_Tables_number 216
_symmetry_space_group_name_Hall 'F -4 2 3'
loop_
_atom_site_label
_atom_site_fract_x
_atom_site_fract_y
_atom_site_fract_z
_atom_site_occupancy
Na1 0.000 0.000 0.000 1
Pm1 0.000 0.000 0.500 1
B1 0.250 0.250 0.250 1
```